Record 1
LiZr2As: relaxed, PBE.

calculated formation energy = -0.41 eV per atom
calculated volume = 73.5 Å³ per cell
energy = -6.328 eV/atom
distance to the lowest polymorph of the same formula = 0.165 eV per atom

Lattice parameters (Å, degrees): 4.299 4.299 3.979 90.00 90.00 90.00
Space group P4/mmm (No. 123)
One atom of each set of equivalent atoms:
Li 0.000 0.000 0.000
Zr 0.000 0.500 0.500
As 0.500 0.500 0.000


Record 2
Li2ZrAs: relaxed, PBE.

calculated formation energy = -0.27 eV per atom
calculated volume = 133.9 Å³ per cell
energy = -4.531 eV/atom
distance to the lowest polymorph of the same formula = 0.221 eV per atom

Lattice parameters (Å, degrees): 4.217 4.217 7.532 90.00 90.00 90.00
Space group I-4m2 (No. 119)
One atom of each set of equivalent atoms:
Li 0.000 0.000 0.000
Li 0.000 0.500 0.250
Zr 0.000 0.500 0.750
As 0.000 0.000 0.500


Record 3
LiZrAs3: relaxed, PBE.

calculated formation energy = 0.18 eV per atom
calculated volume = 94.6 Å³ per cell
energy = -4.702 eV/atom
distance to the lowest polymorph of the same formula = 0.215 eV per atom

Lattice parameters (Å, degrees): 4.556 4.556 4.556 90.00 90.00 90.00
Space group Pm-3m (No. 221)
One atom of each set of equivalent atoms:
Li 0.000 0.000 0.000
Zr 0.500 0.500 0.500
As 0.000 0.000 0.500


Record 4
LiZr2As: relaxed, PBE.

calculated formation energy = -0.32 eV per atom
calculated volume = 291.5 Å³ per cell
energy = -6.233 eV/atom
distance to the lowest polymorph of the same formula = 0.260 eV per atom

Lattice parameters (Å, degrees): 6.630 6.630 6.630 90.00 90.00 90.00
Space group Fm-3m (No. 225)
One atom of each set of equivalent atoms:
Li 0.000 0.000 0.000
Zr 0.250 0.250 0.250
As 0.000 0.000 0.500


Record 5
Li2ZrAs: relaxed, PBE.

calculated formation energy = -0.45 eV per atom
calculated volume = 151.2 Å³ per cell
energy = -4.706 eV/atom
distance to the lowest polymorph of the same formula = 0.046 eV per atom

Lattice parameters (Å, degrees): 3.719 3.798 10.702 90.00 90.00 90.00
Space group Amm2 (No. 38)
One atom of each set of equivalent atoms:
Li 0.000 0.000 0.000
Li 0.500 0.000 0.426
Zr 0.000 0.000 0.720
As 0.500 0.000 0.168


Record 6
LiZr2As2: relaxed, PBE.

calculated formation energy = -0.89 eV per atom
calculated volume = 190.7 Å³ per cell
energy = -6.555 eV/atom
distance to the lowest polymorph of the same formula = 0.000 eV per atom

Lattice parameters (Å, degrees): 7.251 7.251 3.627 90.00 90.00 90.00
Space group P4/mbm (No. 127)
One atom of each set of equivalent atoms:
Li 0.000 0.000 0.000
Zr 0.150 0.350 0.500
As 0.150 0.650 0.000


Record 7
LiZr2As: relaxed, PBE.

calculated formation energy = -0.44 eV per atom
calculated volume = 74.6 Å³ per cell
energy = -6.356 eV/atom
distance to the lowest polymorph of the same formula = 0.136 eV per atom

Lattice parameters (Å, degrees): 3.557 3.557 5.899 90.00 90.00 90.00
Space group P4/mmm (No. 123)
One atom of each set of equivalent atoms:
Li 0.000 0.000 0.000
Zr 0.500 0.500 0.253
As 0.000 0.000 0.500


Record 8
LiZrAs3: relaxed, PBE.

calculated formation energy = -0.04 eV per atom
calculated volume = 141.1 Å³ per cell
energy = -4.917 eV/atom
distance to the lowest polymorph of the same formula = 0.000 eV per atom

Lattice parameters (Å, degrees): 5.206 5.206 5.206 90.00 90.00 90.00
Space group Pm-3m (No. 221)
One atom of each set of equivalent atoms:
Li 0.000 0.000 0.000
Zr 0.500 0.500 0.500
As 0.000 0.500 0.500


Record 9
Li3ZrAs: relaxed, PBE.

calculated formation energy = 1.19 eV per atom
calculated volume = 127.9 Å³ per cell
energy = -2.593 eV/atom
distance to the lowest polymorph of the same formula = 0.977 eV per atom

Lattice parameters (Å, degrees): 5.038 5.038 5.038 90.00 90.00 90.00
Space group Pm-3m (No. 221)
One atom of each set of equivalent atoms:
Li 0.000 0.000 0.500
Zr 0.000 0.000 0.000
As 0.500 0.500 0.500


Record 10
LiZr2As: relaxed, PBE.

calculated formation energy = -0.41 eV per atom
calculated volume = 147.5 Å³ per cell
energy = -6.325 eV/atom
distance to the lowest polymorph of the same formula = 0.167 eV per atom

Lattice parameters (Å, degrees): 4.176 4.205 8.398 90.00 90.00 90.00
Space group Immm (No. 71)
One atom of each set of equivalent atoms:
Li 0.000 0.000 0.000
Zr 0.000 0.500 0.248
As 0.000 0.000 0.500


Record 11
Li2Zr5As5: relaxed, PBE.

calculated formation energy = -0.74 eV per atom
calculated volume = 492.8 Å³ per cell
energy = -6.556 eV/atom

Lattice parameters (Å, degrees): 8.814 8.814 6.343 90.00 90.00 90.00
Space group I4mm (No. 107)
One atom of each set of equivalent atoms:
Li 0.000 0.500 0.000
Zr 0.000 0.000 0.125
Zr 0.204 0.204 0.564
As 0.000 0.000 0.709
As 0.000 0.291 0.255


Record 12
LiZr2As: relaxed, PBE.

calculated formation energy = -0.17 eV per atom
calculated volume = 322.6 Å³ per cell
energy = -6.083 eV/atom
distance to the lowest polymorph of the same formula = 0.409 eV per atom

Lattice parameters (Å, degrees): 7.553 7.553 5.655 90.00 90.00 90.00
Space group I-42d (No. 122)
One atom of each set of equivalent atoms:
Li 0.000 0.000 0.000
Zr 0.232 0.250 0.625
As 0.000 0.000 0.500


Record 13
LiZr2As: relaxed, PBE.

calculated formation energy = 0.07 eV per atom
calculated volume = 302.1 Å³ per cell
energy = -5.845 eV/atom
distance to the lowest polymorph of the same formula = 0.648 eV per atom

Lattice parameters (Å, degrees): 6.710 6.710 6.710 90.00 90.00 90.00
Space group F-43m (No. 216)
One atom of each set of equivalent atoms:
Li 0.000 0.000 0.000
Zr 0.000 0.000 0.500
Zr 0.250 0.250 0.250
As 0.250 0.250 0.750


Record 14
Li2ZrAs: relaxed, PBE.

calculated formation energy = -0.36 eV per atom
calculated volume = 306.6 Å³ per cell
energy = -4.613 eV/atom
distance to the lowest polymorph of the same formula = 0.139 eV per atom

Lattice parameters (Å, degrees): 3.823 3.823 20.975 90.00 90.00 90.00
Space group I-42d (No. 122)
One atom of each set of equivalent atoms:
Li 0.223 0.250 0.125
Zr 0.000 0.000 0.500
As 0.000 0.000 0.000


Record 15
LiZr2As3: relaxed, PBE.

calculated formation energy = -0.92 eV per atom
calculated volume = 1970.4 Å³ per cell
energy = -6.408 eV/atom

Lattice parameters (Å, degrees): 7.768 10.948 23.168 90.00 90.00 90.00
Space group Fddd (No. 70, origin choice 2)
One atom of each set of equivalent atoms:
Li 0.125 0.125 0.042
Zr 0.125 0.125 0.374
Zr 0.125 0.125 0.542
As 0.123 0.375 0.375
As 0.125 0.375 0.042


Record 16
Li3ZrAs: relaxed, PBE.

calculated formation energy = 0.22 eV per atom
calculated volume = 95.2 Å³ per cell
energy = -3.570 eV/atom
distance to the lowest polymorph of the same formula = 0.000 eV per atom

Lattice parameters (Å, degrees): 4.566 4.566 4.566 90.00 90.00 90.00
Space group Pm-3m (No. 221)
One atom of each set of equivalent atoms:
Li 0.000 0.000 0.500
Zr 0.500 0.500 0.500
As 0.000 0.000 0.000


Record 17
LiZrAs4: relaxed, PBE.

calculated formation energy = 0.04 eV per atom
calculated volume = 475.8 Å³ per cell
energy = -4.807 eV/atom

Lattice parameters (Å, degrees): 7.807 7.807 7.807 90.00 90.00 90.00
Space group F-43m (No. 216)
One atom of each set of equivalent atoms:
Li 0.000 0.000 0.000
Zr 0.250 0.250 0.750
As 0.125 0.125 0.375


Record 18
Li2ZrAs: relaxed, PBE.

calculated formation energy = -0.27 eV per atom
calculated volume = 145.6 Å³ per cell
energy = -4.523 eV/atom
distance to the lowest polymorph of the same formula = 0.229 eV per atom

Lattice parameters (Å, degrees): 7.936 2.917 6.315 90.00 95.16 90.00
Space group Cm (No. 8)
One atom of each set of equivalent atoms:
Li 0.000 0.000 0.000
Li 0.249 0.000 0.801
Zr 0.264 0.500 0.336
As 0.010 0.500 0.600


Record 19
LiZr2As: relaxed, PBE.

calculated formation energy = -0.58 eV per atom
calculated volume = 147.6 Å³ per cell
energy = -6.493 eV/atom
distance to the lowest polymorph of the same formula = 0.000 eV per atom

Lattice parameters (Å, degrees): 3.878 3.652 10.425 90.00 90.00 90.00
Space group Amm2 (No. 38)
One atom of each set of equivalent atoms:
Li 0.000 0.000 0.000
Zr 0.000 0.000 0.277
Zr 0.500 0.000 0.587
As 0.500 0.000 0.864


Record 20
Li2ZrAs: relaxed, PBE.

calculated formation energy = -0.26 eV per atom
calculated volume = 150.3 Å³ per cell
energy = -4.514 eV/atom
distance to the lowest polymorph of the same formula = 0.238 eV per atom

Lattice parameters (Å, degrees): 5.531 10.682 2.927 90.00 119.63 90.00
Space group C2/m (No. 12)
One atom of each set of equivalent atoms:
Li 0.250 0.250 0.000
Zr 0.000 0.000 0.500
As 0.000 0.500 0.500


Record 21
Li2ZrAs: relaxed, PBE.

calculated formation energy = -0.15 eV per atom
calculated volume = 243.8 Å³ per cell
energy = -4.403 eV/atom
distance to the lowest polymorph of the same formula = 0.350 eV per atom

Lattice parameters (Å, degrees): 3.1454 3.1454 28.4497 90.00 90.00 120.00
Space group R3m (No. 160, hexagonal axes)
One atom of each set of equivalent atoms:
Li 0.0000 0.0000 0.0000
Li 0.0000 0.0000 0.2401
Zr 0.0000 0.0000 0.4807
As 0.0000 0.0000 0.7366


Record 22
Li2ZrAs: relaxed, PBE.

calculated formation energy = -0.11 eV per atom
calculated volume = 148.2 Å³ per cell
energy = -4.368 eV/atom
distance to the lowest polymorph of the same formula = 0.384 eV per atom

Lattice parameters (Å, degrees): 3.697 4.346 9.221 90.00 90.00 90.00
Space group Cmmm (No. 65)
One atom of each set of equivalent atoms:
Li 0.000 0.000 0.206
Zr 0.000 0.500 0.500
As 0.000 0.500 0.000


Record 23
LuAs: relaxed, PBE.

calculated formation energy = -0.96 eV per atom
calculated volume = 43.3 Å³ per cell
energy = -5.541 eV/atom

Lattice parameters (Å, degrees): 3.512 3.512 3.512 90.00 90.00 90.00
Space group Pm-3m (No. 221)
One atom of each set of equivalent atoms:
Lu 0.000 0.000 0.000
As 0.500 0.500 0.500


Record 24
Lu3As: relaxed, PBE.

calculated formation energy = -0.54 eV per atom
calculated volume = 201.6 Å³ per cell
energy = -5.091 eV/atom
distance to the lowest polymorph of the same formula = 0.000 eV per atom

Lattice parameters (Å, degrees): 3.690 5.031 10.858 90.00 90.00 90.00
Space group Immm (No. 71)
One atom of each set of equivalent atoms:
Lu 0.000 0.000 0.000
Lu 0.000 0.500 0.206
As 0.000 0.000 0.500


Record 25
LuAs3: relaxed, PBE.

calculated formation energy = -0.62 eV per atom
calculated volume = 91.8 Å³ per cell
energy = -5.240 eV/atom

Lattice parameters (Å, degrees): 3.932 5.653 4.131 90.00 90.00 90.00
Space group Pmm2 (No. 25)
One atom of each set of equivalent atoms:
Lu 0.000 0.000 0.000
As 0.000 0.500 0.937
As 0.500 0.000 0.486
As 0.500 0.500 0.336


Record 26
Lu3As: relaxed, PBE.

calculated formation energy = -0.42 eV per atom
calculated volume = 111.8 Å³ per cell
energy = -4.969 eV/atom
distance to the lowest polymorph of the same formula = 0.122 eV per atom

Lattice parameters (Å, degrees): 3.891 3.894 7.379 90.00 90.00 90.00
Space group Pmm2 (No. 25)
One atom of each set of equivalent atoms:
Lu 0.000 0.000 0.000
Lu 0.000 0.500 0.360
Lu 0.500 0.500 0.720
As 0.500 0.000 0.361


Record 27
LuMgAs2: relaxed, PBE.

calculated formation energy = -0.83 eV per atom
calculated volume = 269.7 Å³ per cell
energy = -4.686 eV/atom

Lattice parameters (Å, degrees): 4.0335 4.0335 19.1427 90.00 90.00 120.00
Space group R-3m (No. 166, hexagonal axes)
One atom of each set of equivalent atoms:
Lu 0.0000 0.0000 0.0000
Mg 0.0000 0.0000 0.5000
As 0.0000 0.0000 0.2486


Record 28
LuMnAs2: relaxed, PBE.

calculated formation energy = -0.67 eV per atom
calculated volume = 237.7 Å³ per cell
energy = -6.415 eV/atom

Lattice parameters (Å, degrees): 3.8977 3.8977 18.0702 90.00 90.00 120.00
Space group R-3m (No. 166, hexagonal axes)
One atom of each set of equivalent atoms:
Lu 0.0000 0.0000 0.0000
Mn 0.0000 0.0000 0.5000
As 0.0000 0.0000 0.2391